A plane-wave DFT calculation with GGA-PBEsol was carried out for ZrZn2Cu after structural relaxation.

abc: 2.9901 2.9901 6.7161
angles: 90.00 90.00 90.00
Closest atoms and distances in Å follow each position.
Element x y z (fractional)
Zr  0.0000  0.0000  0.0000  8 Zn 2.88, 4 Zr 2.99
Zn  0.5000  0.5000  0.2917  4 Cu 2.54, 1 Zn 2.80
Zn  0.5000  0.5000  0.7083  4 Cu 2.54, 1 Zn 2.80
Cu  0.0000  0.0000  0.5000  8 Zn 2.54

Results
The calculation puts the energy of formation from the pure elements at -186.2 meV per atom.